# NdAgSnTe3 PBE relaxed
data_NdAgSnTe3
_symmetry_space_group_name_H-M 'P n m a'
_symmetry_Int_Tables_number 62
_cell_length_a 14.665
_cell_length_b 4.373
_cell_length_c 11.871
_cell_angle_alpha 90.00
_cell_angle_beta 90.00
_cell_angle_gamma 90.00
loop_
_symmetry_equiv_pos_as_xyz
'x,y,z'
'-x,-y,-z'
'-x+1/2,-y,z+1/2'
'x+1/2,y,-z+1/2'
'x+1/2,-y+1/2,-z+1/2'
'-x+1/2,y+1/2,z+1/2'
'-x,y+1/2,-z'
'x,-y+1/2,z'
loop_
_atom_site_label
_atom_site_type_symbol
_atom_site_fract_x
_atom_site_fract_y
_atom_site_fract_z
Nd1 Nd 0.007 0.250 0.177
Ag1 Ag 0.006 0.750 0.413
Sn1 Sn 0.216 0.250 0.444
Te1 Te 0.117 0.250 0.943
Te2 Te 0.124 0.750 0.614
Te3 Te 0.151 0.750 0.254
# E_tot: -4.185 eV per atom
# magnetic moment: 0.0003 μB per atom
# ρ: 6.57 g cm⁻³
# relative energy among the computed polymorphs: 0.01 eV/f.u.